No. 1
DFT (PBE) results for an optimized crystal structure of K2YOF.

Structure (extended XYZ):
```
5
Lattice="7.051 0.000 0.000 0.000 4.326 0.000 0.000 0.000 7.051" Properties=species:S:1:pos:R:3 pbc="T T T"
Y 0.000 0.000 0.000
K 3.525 0.000 0.000
O 3.525 2.163 3.525
K 0.000 0.000 3.525
F 0.000 2.163 0.000
```

Results
The value obtained for the total magnetization is 0.2 μB/f.u. As for the space group: P4/mmm. The calculation puts the uncorrected energy at -3.5138 eV/atom. Its crystal system is tetragonal. For the volume, the calculation gives 215.04 Å³ per cell.

---

No. 2
DFT (PBE) results for an optimized crystal structure of K2YOF.

Structure (extended XYZ):
```
5
Lattice="-5.412 -2.076 1.387 0.063 -2.515 -3.519 2.495 -4.382 3.176" Properties=species:S:1:pos:R:3 pbc="T T T"
F -1.427 -4.487 0.522
Y 0.031 -1.258 -1.760
K 1.247 -2.191 1.588
O 0.000 0.000 0.000
K -2.706 -1.038 0.694
```

Results
The value obtained for the total magnetization is 0.0 μB/f.u. As for the space group: P4/mmm. The calculation puts the uncorrected energy at -4.5681 eV/atom. Its crystal system is tetragonal. For the volume, the calculation gives 153.66 Å³ per cell.